i) Compound: DyErAs
Source: Alexandria via LeMat-Bulk
Functional: PBE-GGA
Structure: optimized geometry

Lattice parameters (Å, degrees): 3.659 3.659 11.452 90.00 90.00 90.00
Space group I4mm (No. 107)
One atom of each set of equivalent atoms:
Dy 0.000 0.000 0.000 x2
Er 0.000 0.000 0.718 x2
As 0.000 0.000 0.356 x2

Calculated values
The mass density is 8.8 Mg/m³. For the total magnetization, the calculation gives 0.771 μB per formula unit.

ii) Compound: DyErAs
Source: Alexandria via LeMat-Bulk
Functional: PBE-GGA
Structure: optimized geometry

Lattice parameters (Å, degrees): 3.9615 3.9615 6.3827 90.00 90.00 120.00
Space group P3m1 (No. 156)
One atom of each set of equivalent atoms:
Dy 0.0000 0.0000 0.0000 x1
Er 0.3333 0.6667 0.5203 x1
As 0.6667 0.3333 0.2626 x1

Calculated values
The mass density is 7.7 Mg/m³. For the total magnetization, the calculation gives 0.021 μB per formula unit.

What should be chosen as the least stable of them? Choose i).

i) Compound: Dy2GeAs
Source: Alexandria via LeMat-Bulk
Functional: PBE-GGA
Structure: optimized geometry

Lattice parameters (Å, degrees): 4.207 22.552 4.036 90.00 90.00 90.00
Space group Cmcm (No. 63)
One atom of each set of equivalent atoms:
Dy 0.000 0.065 0.250 x4
Dy 0.000 0.315 0.250 x4
Ge 0.000 0.458 0.250 x4
As 0.000 0.188 0.250 x4

Calculated values
The mass density is 8.2 Mg/m³. For the total magnetization, the calculation gives 0.000 μB per formula unit.

ii) Compound: Dy2GeAs
Source: Alexandria via LeMat-Bulk
Functional: PBE-GGA
Structure: optimized geometry

Lattice parameters (Å, degrees): 3.9757 3.9757 22.2202 90.00 90.00 120.00
Space group R3m (No. 160, hexagonal axes)
One atom of each set of equivalent atoms:
Dy 0.0000 0.0000 0.0000 x3
Dy 0.0000 0.0000 0.1646 x3
Ge 0.0000 0.0000 0.5806 x3
As 0.0000 0.0000 0.7503 x3

Calculated values
The mass density is 7.7 Mg/m³. For the total magnetization, the calculation gives 0.000 μB per formula unit.

What should be chosen as the least stable of them? Choose ii).

i) Compound: Dy2AsH
Source: Alexandria via LeMat-Bulk
Functional: PBE-GGA
Structure: optimized geometry

Lattice parameters (Å, degrees): 4.0850 4.0850 21.5988 90.00 90.00 120.00
Space group R-3m (No. 166, hexagonal axes)
One atom of each set of equivalent atoms:
Dy 0.0000 0.0000 0.0937 x6
As 0.0000 0.0000 0.5000 x3
H 0.0000 0.0000 0.0000 x3

Calculated values
The mass density is 6.4 Mg/m³. For the total magnetization, the calculation gives 1.002 μB per formula unit.

ii) Compound: Dy2AsH
Source: Alexandria via LeMat-Bulk
Functional: PBE-GGA
Structure: optimized geometry

Lattice parameters (Å, degrees): 3.9454 3.9454 6.3477 90.00 90.00 120.00
Space group P3m1 (No. 156)
One atom of each set of equivalent atoms:
Dy 0.0000 0.0000 0.0000 x1
Dy 0.3333 0.6667 0.5365 x1
As 0.6667 0.3333 0.2720 x1
H 0.3333 0.6667 0.8908 x1

Calculated values
The mass density is 7.8 Mg/m³. For the total magnetization, the calculation gives 0.588 μB per formula unit.

iii) Compound: Dy2AsH
Source: Alexandria via LeMat-Bulk
Functional: PBE-GGA
Structure: optimized geometry

Lattice parameters (Å, degrees): 3.8879 3.8879 21.0011 90.00 90.00 120.00
Space group R3m (No. 160, hexagonal axes)
One atom of each set of equivalent atoms:
Dy 0.0000 0.0000 0.0000 x3
Dy 0.0000 0.0000 0.1715 x3
As 0.0000 0.0000 0.5900 x3
H 0.0000 0.0000 0.8172 x3

Calculated values
The mass density is 7.3 Mg/m³. For the total magnetization, the calculation gives 0.000 μB per formula unit.

What should be chosen as the least stable of them? Choose i).

i) Compound: LiDy2As
Source: Alexandria via LeMat-Bulk
Functional: PBE-GGA
Structure: optimized geometry

Lattice parameters (Å, degrees): 3.8241 3.8241 30.1916 90.00 90.00 120.00
Space group R-3m (No. 166, hexagonal axes)
One atom of each set of equivalent atoms:
Li 0.0000 0.0000 0.0000 x3
Dy 0.0000 0.0000 0.1099 x6
As 0.0000 0.0000 0.5000 x3

Calculated values
The mass density is 5.3 Mg/m³. For the total magnetization, the calculation gives 0.000 μB per formula unit.

ii) Compound: LiDy2As
Source: Alexandria via LeMat-Bulk
Functional: PBE-GGA
Structure: optimized geometry

Lattice parameters (Å, degrees): 4.785 4.785 3.896 90.00 90.00 90.00
Space group P4/mmm (No. 123)
One atom of each set of equivalent atoms:
Li 0.000 0.000 0.000 x1
Dy 0.000 0.500 0.500 x2
As 0.500 0.500 0.000 x1

Calculated values
The mass density is 7.6 Mg/m³. For the total magnetization, the calculation gives 0.000 μB per formula unit.

What should be chosen as the least stable of them? Choose i).

i) Compound: DyPaAs
Source: Alexandria via LeMat-Bulk
Functional: PBE-GGA
Structure: optimized geometry

Lattice parameters (Å, degrees): 4.9194 4.9194 3.6198 90.00 90.00 120.00
Space group P3m1 (No. 156)
One atom of each set of equivalent atoms:
Dy 0.0000 0.0000 0.0000 x1
Pa 0.6667 0.3333 0.5080 x1
As 0.3333 0.6667 0.7881 x1

Calculated values
The mass density is 10.3 Mg/m³. For the total magnetization, the calculation gives 0.856 μB per formula unit.

ii) Compound: DyPaAs
Source: Alexandria via LeMat-Bulk
Functional: PBE-GGA
Structure: optimized geometry

Lattice parameters (Å, degrees): 4.219 4.219 8.174 90.00 90.00 90.00
Space group P4/nmm (No. 129, origin choice 2)
One atom of each set of equivalent atoms:
Dy 0.250 0.750 0.000 x2
Pa 0.250 0.250 0.360 x2
As 0.250 0.250 0.723 x2

Calculated values
The mass density is 10.7 Mg/m³. For the total magnetization, the calculation gives 0.000 μB per formula unit.

What should be chosen as the least stable of them? Choose i).

i) Compound: DyAs2Pd4
Source: Alexandria via LeMat-Bulk
Functional: PBE-GGA
Structure: optimized geometry

Lattice parameters (Å, degrees): 7.742 7.742 4.079 90.00 90.00 90.00
Space group P4_2/mnm (No. 136)
One atom of each set of equivalent atoms:
Dy 0.000 0.000 0.000 x2
As 0.221 0.221 0.500 x4
Pd 0.086 0.663 0.500 x8

Calculated values
The mass density is 10.0 Mg/m³. For the total magnetization, the calculation gives 0.000 μB per formula unit.

ii) Compound: DyAs2Pd4
Source: Alexandria via LeMat-Bulk
Functional: PBE-GGA
Structure: optimized geometry

Lattice parameters (Å, degrees): 4.303 13.399 4.348 90.00 90.00 90.00
Space group Cmmm (No. 65)
One atom of each set of equivalent atoms:
Dy 0.000 0.000 0.000 x2
As 0.000 0.408 0.500 x4
Pd 0.000 0.179 0.500 x4
Pd 0.000 0.324 0.000 x4

Calculated values
The mass density is 9.8 Mg/m³. For the total magnetization, the calculation gives 0.000 μB per formula unit.

What should be chosen as the least stable of them? Choose ii).

i) Compound: DyPuAs
Source: Alexandria via LeMat-Bulk
Functional: PBE-GGA
Structure: optimized geometry

Lattice parameters (Å, degrees): 4.7262 4.7262 4.0436 90.00 90.00 120.00
Space group P3m1 (No. 156)
One atom of each set of equivalent atoms:
Dy 0.0000 0.0000 0.0000 x1
Pu 0.6667 0.3333 0.4725 x1
As 0.3333 0.6667 0.8180 x1

Calculated values
The mass density is 10.2 Mg/m³. For the total magnetization, the calculation gives 6.501 μB per formula unit.

ii) Compound: DyPuAs
Source: Alexandria via LeMat-Bulk
Functional: PBE-GGA
Structure: optimized geometry

Lattice parameters (Å, degrees): 4.082 4.082 10.383 90.00 90.00 90.00
Space group P4/nmm (No. 129, origin choice 2)
One atom of each set of equivalent atoms:
Dy 0.250 0.250 0.106 x2
Pu 0.250 0.250 0.652 x2
As 0.250 0.250 0.373 x2

Calculated values
The mass density is 9.2 Mg/m³. For the total magnetization, the calculation gives 5.349 μB per formula unit.

What should be chosen as the least stable of them? Choose i).

i) Compound: Dy4Sb3As
Source: Alexandria via LeMat-Bulk
Functional: PBE-GGA
Structure: optimized geometry

Lattice parameters (Å, degrees): 6.112 6.112 6.112 90.00 90.00 90.00
Space group Pm-3m (No. 221)
One atom of each set of equivalent atoms:
Dy 0.000 0.000 0.000 x1
Dy 0.000 0.500 0.500 x3
Sb 0.000 0.000 0.500 x3
As 0.500 0.500 0.500 x1

Calculated values
The mass density is 7.9 Mg/m³. For the total magnetization, the calculation gives 0.000 μB per formula unit.

ii) Compound: Dy4Sb3As
Source: Alexandria via LeMat-Bulk
Functional: PBE-GGA
Structure: optimized geometry

Lattice parameters (Å, degrees): 8.665 12.221 4.310 90.00 90.00 90.00
Space group Cmmm (No. 65)
One atom of each set of equivalent atoms:
Dy 0.000 0.244 0.000 x4
Dy 0.238 0.000 0.500 x4
Sb 0.000 0.500 0.000 x2
Sb 0.250 0.250 0.500 x4
As 0.000 0.000 0.000 x2

Calculated values
The mass density is 7.9 Mg/m³. For the total magnetization, the calculation gives 0.000 μB per formula unit.

What should be chosen as the least stable of them? Choose i).

i) Compound: DySc3As3
Source: Alexandria via LeMat-Bulk
Functional: PBE-GGA
Structure: optimized geometry

Lattice parameters (Å, degrees): 8.1815 8.1815 16.4658 90.00 90.00 120.00
Space group R-3 (No. 148, hexagonal axes)
One atom of each set of equivalent atoms:
Dy 0.0000 0.0000 0.1664 x6
Sc 0.0035 0.2697 0.5877 x18
As 0.0043 0.3735 0.4186 x18

Calculated values
The mass density is 5.5 Mg/m³. For the total magnetization, the calculation gives 0.000 μB per formula unit.

ii) Compound: DySc3As3
Source: Alexandria via LeMat-Bulk
Functional: PBE-GGA
Structure: optimized geometry

Lattice parameters (Å, degrees): 8.328 8.328 8.328 90.00 90.00 90.00
Space group P2_13 (No. 198)
One atom of each set of equivalent atoms:
Dy 0.067 0.433 0.567 x4
Sc 0.071 0.571 0.929 x4
Sc 0.179 0.821 0.321 x4
Sc 0.184 0.184 0.184 x4
As 0.003 0.258 0.879 x12

Calculated values
The mass density is 6.0 Mg/m³. For the total magnetization, the calculation gives 0.000 μB per formula unit.

What should be chosen as the least stable of them? Choose i).

i) Compound: DyScAs2
Source: Alexandria via LeMat-Bulk
Functional: PBE-GGA
Structure: optimized geometry

Lattice parameters (Å, degrees): 3.9775 3.9775 20.3685 90.00 90.00 120.00
Space group R3m (No. 160, hexagonal axes)
One atom of each set of equivalent atoms:
Dy 0.0000 0.0000 0.0000 x3
Sc 0.0000 0.0000 0.8287 x3
As 0.0000 0.0000 0.4174 x3
As 0.0000 0.0000 0.5775 x3

Calculated values
The mass density is 6.4 Mg/m³. For the total magnetization, the calculation gives 0.000 μB per formula unit.

ii) Compound: DyScAs2
Source: Alexandria via LeMat-Bulk
Functional: PBE-GGA
Structure: optimized geometry

Lattice parameters (Å, degrees): 4.0059 4.0059 19.5543 90.00 90.00 120.00
Space group R-3m (No. 166, hexagonal axes)
One atom of each set of equivalent atoms:
Dy 0.0000 0.0000 0.0000 x3
Sc 0.0000 0.0000 0.5000 x3
As 0.0000 0.0000 0.2450 x6

Calculated values
The mass density is 6.5 Mg/m³. For the total magnetization, the calculation gives 0.000 μB per formula unit.

What should be chosen as the least stable of them? Choose i).

i) Compound: Dy2AsSe
Source: Alexandria via LeMat-Bulk
Functional: PBE-GGA
Structure: optimized geometry

Lattice parameters (Å, degrees): 4.099 5.788 8.225 90.00 90.00 90.00
Space group Pmmn (No. 59, origin choice 2)
One atom of each set of equivalent atoms:
Dy 0.250 0.250 0.116 x2
Dy 0.250 0.250 0.637 x2
As 0.250 0.750 0.126 x2
Se 0.250 0.750 0.622 x2

Calculated values
The mass density is 8.2 Mg/m³. For the total magnetization, the calculation gives 0.000 μB per formula unit.

ii) Compound: Dy2AsSe
Source: Alexandria via LeMat-Bulk
Functional: PBE-GGA
Structure: optimized geometry

Lattice parameters (Å, degrees): 4.0272 4.0272 21.2152 90.00 90.00 120.00
Space group R3m (No. 160, hexagonal axes)
One atom of each set of equivalent atoms:
Dy 0.0000 0.0000 0.0000 x3
Dy 0.0000 0.0000 0.1802 x3
As 0.0000 0.0000 0.5885 x3
Se 0.0000 0.0000 0.7580 x3

Calculated values
The mass density is 8.0 Mg/m³. For the total magnetization, the calculation gives 0.000 μB per formula unit.

What should be chosen as the least stable of them? Choose ii).

i) Compound: SmDyAs2
Source: Alexandria via LeMat-Bulk
Functional: PBE-GGA
Structure: optimized geometry

Lattice parameters (Å, degrees): 4.1303 4.1303 21.2771 90.00 90.00 120.00
Space group R3m (No. 160, hexagonal axes)
One atom of each set of equivalent atoms:
Sm 0.0000 0.0000 0.0000 x3
Dy 0.0000 0.0000 0.1714 x3
As 0.0000 0.0000 0.4200 x3
As 0.0000 0.0000 0.5852 x3

Calculated values
The mass density is 7.3 Mg/m³. For the total magnetization, the calculation gives 0.000 μB per formula unit.

ii) Compound: SmDyAs2
Source: Alexandria via LeMat-Bulk
Functional: PBE-GGA
Structure: optimized geometry

Lattice parameters (Å, degrees): 4.1692 4.1692 20.3954 90.00 90.00 120.00
Space group R-3m (No. 166, hexagonal axes)
One atom of each set of equivalent atoms:
Sm 0.0000 0.0000 0.0000 x3
Dy 0.0000 0.0000 0.5000 x3
As 0.0000 0.0000 0.2480 x6

Calculated values
The mass density is 7.5 Mg/m³. For the total magnetization, the calculation gives 0.000 μB per formula unit.

What should be chosen as the least stable of them? Choose i).

i) Compound: TbDyAs2
Source: Alexandria via LeMat-Bulk
Functional: PBE-GGA
Structure: optimized geometry

Lattice parameters (Å, degrees): 4.1304 4.1304 20.2108 90.00 90.00 120.00
Space group R-3m (No. 166, hexagonal axes)
One atom of each set of equivalent atoms:
Tb 0.0000 0.0000 0.0000 x3
Dy 0.0000 0.0000 0.5000 x3
As 0.0000 0.0000 0.2496 x6

Calculated values
The mass density is 7.9 Mg/m³. For the total magnetization, the calculation gives 0.000 μB per formula unit.

ii) Compound: TbDyAs2
Source: Alexandria via LeMat-Bulk
Functional: PBE-GGA
Structure: optimized geometry

Lattice parameters (Å, degrees): 4.0892 4.0892 21.0831 90.00 90.00 120.00
Space group R3m (No. 160, hexagonal axes)
One atom of each set of equivalent atoms:
Tb 0.0000 0.0000 0.0000 x3
Dy 0.0000 0.0000 0.1713 x3
As 0.0000 0.0000 0.5840 x3
As 0.0000 0.0000 0.7538 x3

Calculated values
The mass density is 7.7 Mg/m³. For the total magnetization, the calculation gives 0.000 μB per formula unit.

What should be chosen as the least stable of them? Choose ii).